[1]
GGA-PBE LiAc2GeN, relaxed; energy relative to the elements, uncorrected = -3.76 eV per formula unit; total energy = -26.836 eV/f.u.; total magnetization = 0.000 μB per cell
1.0
-2.280 3.396 -0.544
-3.720 -3.314 -5.095
-4.014 -1.483 7.567
Ge Li Ac N
2 2 4 2
direct
0.750 0.318 0.698
0.250 0.682 0.302
0.750 0.448 0.255
0.250 0.552 0.745
0.250 0.183 0.383
0.750 0.817 0.617
0.750 0.788 0.038
0.250 0.212 0.962
0.750 0.152 0.169
0.250 0.848 0.831



[2]
GGA-PBE TaCdSn2, relaxed; distance to the lowest polymorph of the same formula = 0.105 eV/atom; total energy = -18.586 eV/f.u.; ΔE_f = 547 meV per atom; total magnetization = 0.000 μB per cell
1.0
1.675 -4.709 -0.512
-3.219 -3.710 -1.056
0.062 -2.165 -4.533
Cd Ta Sn
1 1 2
direct
0.000 0.000 0.000
0.500 0.500 0.500
0.750 0.750 0.750
0.250 0.250 0.250



[3]
GGA-PBE Ho2PaP3, relaxed; total energy = -43.975 eV/f.u.; ΔE_f = -1516 meV per atom; total magnetization = 0.000 μB per cell
1.0
-2.710 -2.677 -1.158
3.119 -1.210 -4.503
2.638 -2.273 5.932
P Ho Pa
3 2 1
direct
0.836 0.836 0.673
0.164 0.164 0.327
0.500 0.500 0.000
0.168 0.668 0.335
0.832 0.332 0.665
0.500 0.000 0.000



[4]
GGA-PBE MnBe2Re, relaxed; distance to the lowest polymorph of the same formula = 0.133 eV/atom; total energy = -28.998 eV/f.u.; ΔE_f = 18 meV per atom; total magnetization = 3.279 μB per cell
1.0
-0.798 0.256 3.628
1.386 -3.413 0.546
2.868 1.252 0.542
Mn Be Re
1 2 1
direct
0.500 0.000 0.500
0.500 0.500 0.000
0.000 0.000 0.000
0.000 0.500 0.500



[5]
GGA-PBE PaTiSn2, relaxed; distance to the lowest polymorph of the same formula = 0.009 eV/atom; total energy = -25.983 eV/f.u.; ΔE_f = -147 meV per atom; total magnetization = 1.163 μB per cell
1.0
-2.616 0.059 -2.625
1.639 -2.858 -1.698
-3.683 -4.237 3.576
Pa Ti Sn
1 1 2
direct
0.500 0.500 0.500
0.500 0.500 0.000
0.000 0.000 0.782
0.000 0.000 0.218



[6]
GGA-PBE Sc3Ru5, relaxed; distance to the lowest polymorph of the same formula = 0.000 eV/atom; total energy = -67.996 eV/f.u.; ΔE_f = -328 meV per atom; total magnetization = 1.393 μB per cell
1.0
-3.323 4.239 -1.005
-5.118 -1.333 1.433
0.747 1.563 4.120
Ru Sc
5 3
direct
0.757 0.243 0.500
0.243 0.757 0.500
0.000 0.500 0.000
0.000 0.000 0.000
0.500 0.000 0.000
0.500 0.500 0.000
0.753 0.753 0.500
0.247 0.247 0.500